(1)
Density functional theory data (PBE-GGA) for crystalline DyTmMg2Sn2 at its relaxed geometry.

The structure belongs to space group I4mm (No. 107); the cell edges are 4.373, 4.373 and 15.827 Å and the angles 90.00°, 90.00° and 90.00°. The inequivalent atoms are Dy at (0.000, 0.000, 0.000), Tm at (0.000, 0.000, 0.334), Mg at (0.000, 0.500, 0.168), Sn at (0.000, 0.000, 0.531) and Sn at (0.000, 0.000, 0.803).

The calculation puts the magnetization at 0.0014 μB per atom. The energy comes out at -3.914 eV/atom.

***

(2)
Density functional theory data (PBE-GGA) for crystalline TbErAl2Ni4 at its relaxed geometry.

The structure belongs to space group P-6m2 (No. 187); the cell edges are 4.1356, 4.1356 and 8.8654 Å and the angles 90.00°, 90.00° and 120.00°. The inequivalent atoms are Tb at (0.0000, 0.0000, 0.0000), Er at (0.3333, 0.6667, 0.5000), Al at (0.6667, 0.3333, 0.2535), Ni at (0.0000, 0.0000, 0.3168) and Ni at (0.3333, 0.6667, 0.1899).

The calculation puts the magnetization at 0.0002 μB per atom. The energy comes out at -5.463 eV/atom.

***

(3)
Density functional theory data (PBE-GGA) for crystalline PrOsNO at its relaxed geometry.

The structure belongs to space group Pmc2_1 (No. 26); the cell edges are 3.526, 5.919 and 5.891 Å and the angles 90.00°, 90.00° and 90.00°. The inequivalent atoms are Pr at (0.000, 0.246, 0.000), Os at (0.500, 0.201, 0.496), N at (0.500, 0.007, 0.735) and O at (0.000, 0.396, 0.356).

The calculation puts the magnetization at 0.0011 μB per atom. For the energy above the most stable polymorph in this dataset, the calculation gives 606.6 meV/atom.

***

(4)
Density functional theory data (PBE-GGA) for crystalline ZrU at its relaxed geometry.

The structure belongs to space group Pmm2 (No. 25); the cell edges are 5.087, 6.726 and 5.285 Å and the angles 90.00°, 90.00° and 90.00°. The inequivalent atoms are Zr at (0.000, 0.000, 0.000), Zr at (0.000, 0.251, 0.503), Zr at (0.500, 0.000, 0.585), U at (0.000, 0.500, 0.010), U at (0.500, 0.267, 0.095) and U at (0.500, 0.500, 0.476).

The calculation puts the magnetization at 0.3244 μB per atom. The calculation puts the formation enthalpy at 0 K at 0.2191 eV per atom. For the energy above the most stable polymorph in this dataset, the calculation gives 104.3 meV/atom.

***

(5)
Density functional theory data (PBE-GGA) for crystalline Tb2Lu2O5 at its relaxed geometry.

The structure belongs to space group P4/mmm (No. 123); the cell edges are 4.206, 4.206 and 7.537 Å and the angles 90.00°, 90.00° and 90.00°. The inequivalent atoms are Tb at (0.000, 0.000, 0.000), Tb at (0.000, 0.000, 0.500), Lu at (0.500, 0.500, 0.228), O at (0.000, 0.500, 0.232) and O at (0.500, 0.500, 0.500).

The calculation puts the magnetization at 0.0007 μB per atom. For the energy above the most stable polymorph in this dataset, the calculation gives 74.1 meV/atom.

***

(6)
Density functional theory data (PBE-GGA) for crystalline YCuHgSb at its relaxed geometry.

The structure belongs to space group F-43m (No. 216); the cell edges are 7.140, 7.140 and 7.140 Å and the angles 90.00°, 90.00° and 90.00°. The inequivalent atoms are Y at (0.000, 0.000, 0.000), Cu at (0.000, 0.000, 0.500), Hg at (0.250, 0.250, 0.750) and Sb at (0.250, 0.250, 0.250).

The calculation puts the magnetization at 0.0001 μB per atom. For the energy above the most stable polymorph in this dataset, the calculation gives 0.0 meV/atom.

***

Which value of magnetization does entry 6 give?
0.0001 μB per atom

***

What is the magnetization in the fourth record?
0.3244 μB per atom

***

Among the records above, which one has the lowest magnetization?
YCuHgSb